[1]
Density functional theory data (GGA-PBE) for a relaxed ReBiPdBr2 crystal.

Geometry as extended XYZ:
```
5
Lattice="4.946 0.000 0.000 0.000 4.946 0.000 0.000 0.000 5.791" Properties=species:S:1:pos:R:3 pbc="T T T"
Re 0.000 0.000 0.000
Bi 2.473 2.473 0.000
Pd 2.473 2.473 2.895
Br 0.000 2.473 2.895
Br 2.473 0.000 2.895
```

Space group   P4/mmm
Relative energy among the computed polymorphs   0.00 eV/f.u.
Crystal system   tetragonal



[2]
Density functional theory data (GGA-PBE) for a relaxed ReBiPdBr2 crystal.

Geometry as extended XYZ:
```
5
Lattice="5.778 0.000 0.000 0.000 5.778 0.000 0.000 0.000 5.228" Properties=species:S:1:pos:R:3 pbc="T T T"
Re 0.000 0.000 0.000
Bi 2.889 2.889 2.614
Pd 2.889 2.889 0.000
Br 0.000 2.889 2.614
Br 2.889 0.000 2.614
```

Space group   P4/mmm
Relative energy among the computed polymorphs   1.20 eV/f.u.
Crystal system   tetragonal



[3]
Density functional theory data (GGA-PBE) for a relaxed BiPdRh2Br crystal.

Geometry as extended XYZ:
```
5
Lattice="5.083 0.000 0.000 0.000 5.083 0.000 0.000 0.000 5.098" Properties=species:S:1:pos:R:3 pbc="T T T"
Bi 0.000 0.000 0.000
Pd 0.000 0.000 2.549
Rh 0.000 2.541 0.000
Rh 2.541 0.000 0.000
Br 2.541 2.541 2.549
```

Space group   P4/mmm
Crystal system   tetragonal



[4]
Density functional theory data (GGA-PBE) for a relaxed BiPd2RhBr crystal.

Geometry as extended XYZ:
```
5
Lattice="4.806 0.000 0.000 0.000 4.806 0.000 0.000 0.000 4.719" Properties=species:S:1:pos:R:3 pbc="T T T"
Bi 0.000 0.000 0.000
Pd 0.000 2.403 2.359
Pd 2.403 0.000 2.359
Rh 2.403 2.403 0.000
Br 2.403 2.403 2.359
```

Space group   P4/mmm
Crystal system   tetragonal



[5]
Density functional theory data (GGA-PBE) for a relaxed Bi2SbPdBr crystal.

Geometry as extended XYZ:
```
5
Lattice="5.651 0.000 0.000 0.000 5.651 0.000 0.000 0.000 4.958" Properties=species:S:1:pos:R:3 pbc="T T T"
Bi 0.000 2.826 0.000
Bi 2.826 0.000 0.000
Sb 0.000 0.000 2.479
Pd 0.000 0.000 0.000
Br 2.826 2.826 2.479
```

Space group   P4/mmm
Crystal system   tetragonal



[6]
Density functional theory data (GGA-PBE) for a relaxed Pm2BiBr crystal.

Geometry as extended XYZ:
```
12
Lattice="4.339 0.000 0.000 -2.169 3.758 0.000 0.000 0.000 23.425" Properties=species:S:1:pos:R:3 pbc="T T T"
Pm 0.000 0.000 0.000
Pm 0.000 0.000 4.100
Pm 0.000 2.505 15.617
Pm 0.000 2.505 19.716
Pm 2.169 1.253 7.808
Pm 2.169 1.253 11.908
Bi 0.000 0.000 13.740
Bi 0.000 2.505 5.932
Bi 2.169 1.253 21.548
Br 0.000 0.000 17.699
Br 0.000 2.505 9.891
Br 2.169 1.253 2.082
```

Space group   R3m
Relative energy among the computed polymorphs   0.07 eV/f.u.
Crystal system   trigonal



[7]
Density functional theory data (GGA-PBE) for a relaxed Pm2Bi2Br crystal.

Geometry as extended XYZ:
```
10
Lattice="6.458 0.000 0.000 0.000 4.283 0.000 -0.170 0.000 13.720" Properties=species:S:1:pos:R:3 pbc="T T T"
Pm 1.525 1.071 3.163
Pm 1.531 1.071 8.051
Pm 4.758 3.212 5.669
Pm 4.763 3.212 10.557
Bi 1.529 3.212 5.654
Bi 1.534 3.212 10.497
Bi 4.755 1.071 3.223
Bi 4.760 1.071 8.066
Br 1.532 3.212 1.235
Br 4.757 1.071 12.485
```

Space group   P2_1/m
Crystal system   monoclinic



[8]
Density functional theory data (GGA-PBE) for a relaxed Pm2BiBr crystal.

Geometry as extended XYZ:
```
12
Lattice="4.795 0.000 0.000 -2.397 4.152 0.000 0.000 0.000 26.164" Properties=species:S:1:pos:R:3 pbc="T T T"
Pm 0.000 0.000 2.885
Pm 0.000 0.000 23.279
Pm 0.000 2.768 14.557
Pm 0.000 2.768 20.328
Pm 2.397 1.384 5.836
Pm 2.397 1.384 11.607
Bi 0.000 0.000 13.082
Bi 0.000 2.768 4.361
Bi 2.397 1.384 21.803
Br 0.000 0.000 0.000
Br 0.000 2.768 17.443
Br 2.397 1.384 8.721
```

Space group   R-3m
Relative energy among the computed polymorphs   0.57 eV/f.u.
Crystal system   trigonal



[9]
Density functional theory data (GGA-PBE) for a relaxed Pm3BiBr3 crystal.

Geometry as extended XYZ:
```
14
Lattice="3.667 2.117 11.003 -3.667 2.117 11.003 0.000 -4.234 11.003" Properties=species:S:1:pos:R:3 pbc="T T T"
Pm -1.137 -1.971 14.662
Pm -2.275 0.000 18.347
Pm -1.138 1.970 14.662
Pm 1.138 -1.970 18.347
Pm 2.275 0.000 14.662
Pm 1.137 1.971 18.347
Bi 0.000 0.000 5.502
Bi 0.000 0.000 27.507
Br -2.575 -0.001 12.887
Br -1.287 -2.231 20.123
Br 1.288 -2.230 12.887
Br -1.288 2.230 20.123
Br 1.287 2.231 12.887
Br 2.575 0.001 20.123
```

Space group   R-3
Crystal system   trigonal



[10]
Density functional theory data (GGA-PBE) for a relaxed Pm2BiBr3 crystal.

Geometry as extended XYZ:
```
12
Lattice="9.085 -2.273 0.000 9.085 2.273 0.000 -8.884 0.000 11.522" Properties=species:S:1:pos:R:3 pbc="T T T"
Pm -1.997 0.000 5.186
Pm 5.079 0.000 1.925
Pm 4.206 0.000 9.597
Pm 11.283 0.000 6.336
Bi -3.963 0.000 7.689
Bi 13.248 0.000 3.833
Br -5.987 0.000 11.429
Br 1.120 0.000 4.703
Br 1.582 0.000 8.345
Br 7.703 0.000 3.177
Br 8.166 0.000 6.819
Br 15.272 0.000 0.093
```

Space group   C2/m
Crystal system   monoclinic



[11]
Density functional theory data (GGA-PBE) for a relaxed PmBiBr6 crystal.

Geometry as extended XYZ:
```
16
Lattice="7.149 0.000 0.000 0.000 13.262 0.000 -2.103 0.000 6.832" Properties=species:S:1:pos:R:3 pbc="T T T"
Pm 0.000 0.000 0.000
Pm 3.574 6.631 0.000
Bi -1.051 6.631 3.416
Bi 2.523 0.000 3.416
Br 0.198 0.000 5.120
Br 0.200 4.658 5.124
Br 0.200 8.605 5.124
Br 1.272 1.974 1.708
Br 1.272 11.289 1.708
Br 1.274 6.631 1.712
Br 3.772 6.631 5.120
Br 3.774 1.974 5.124
Br 3.774 11.289 5.124
Br 4.846 4.658 1.708
Br 4.846 8.605 1.708
Br 4.848 0.000 1.712
```

Space group   C2/m
Crystal system   monoclinic



[12]
Density functional theory data (GGA-PBE) for a relaxed Pm2BiBr crystal.

Geometry as extended XYZ:
```
4
Lattice="5.500 0.000 0.000 0.000 5.500 0.000 0.000 0.000 3.775" Properties=species:S:1:pos:R:3 pbc="T T T"
Pm 0.000 2.750 0.000
Pm 2.750 0.000 0.000
Bi 0.000 0.000 1.887
Br 2.750 2.750 1.887
```

Space group   P4/mmm
Relative energy among the computed polymorphs   0.30 eV/f.u.
Crystal system   tetragonal



[13]
Density functional theory data (GGA-PBE) for a relaxed Pm3Bi2Br2 crystal.

Geometry as extended XYZ:
```
7
Lattice="4.453 0.000 0.000 2.226 6.925 0.000 0.007 1.389 7.788" Properties=species:S:1:pos:R:3 pbc="T T T"
Pm 0.000 0.000 0.000
Pm 2.233 4.444 5.675
Pm 4.453 3.871 2.113
Bi 2.226 5.977 2.951
Bi 4.460 2.338 4.837
Br 2.226 1.964 0.809
Br 4.459 6.351 6.979
```

Space group   P-1
Crystal system   triclinic



[14]
Density functional theory data (GGA-PBE) for a relaxed Pm2BiBr2 crystal.

Geometry as extended XYZ:
```
15
Lattice="4.399 0.000 0.000 -2.200 3.810 0.000 0.000 0.000 32.585" Properties=species:S:1:pos:R:3 pbc="T T T"
Pm 0.000 0.000 3.583
Pm 0.000 0.000 29.002
Pm 0.000 2.540 18.140
Pm 0.000 2.540 25.306
Pm 2.200 1.270 7.279
Pm 2.200 1.270 14.445
Bi 0.000 0.000 16.292
Bi 0.000 2.540 5.431
Bi 2.200 1.270 27.154
Br 0.000 0.000 8.997
Br 0.000 0.000 23.588
Br 0.000 2.540 12.727
Br 0.000 2.540 30.720
Br 2.200 1.270 1.865
Br 2.200 1.270 19.858
```

Space group   R-3m
Crystal system   trigonal



[15]
Density functional theory data (GGA-PBE) for a relaxed Pm2BiBr crystal.

Geometry as extended XYZ:
```
16
Lattice="7.706 0.000 0.000 0.000 7.706 0.000 0.000 0.000 7.706" Properties=species:S:1:pos:R:3 pbc="T T T"
Pm 1.926 1.926 1.926
Pm 1.926 1.926 5.779
Pm 1.926 5.779 1.926
Pm 1.926 5.779 5.779
Pm 5.779 1.926 1.926
Pm 5.779 1.926 5.779
Pm 5.779 5.779 1.926
Pm 5.779 5.779 5.779
Bi 0.000 0.000 0.000
Bi 0.000 3.853 3.853
Bi 3.853 0.000 3.853
Bi 3.853 3.853 0.000
Br 0.000 0.000 3.853
Br 0.000 3.853 0.000
Br 3.853 0.000 0.000
Br 3.853 3.853 3.853
```

Space group   Fm-3m
Relative energy among the computed polymorphs   0.00 eV/f.u.
Crystal system   cubic



[16]
Density functional theory data (GGA-PBE) for a relaxed Pm4Bi3Br crystal.

Geometry as extended XYZ:
```
16
Lattice="6.390 0.000 0.000 0.000 6.390 0.000 0.000 0.000 12.836" Properties=species:S:1:pos:R:3 pbc="T T T"
Pm 0.000 0.000 3.125
Pm 0.000 0.000 9.711
Pm 0.000 3.195 0.000
Pm 0.000 3.195 6.418
Pm 3.195 0.000 0.000
Pm 3.195 0.000 6.418
Pm 3.195 3.195 3.293
Pm 3.195 3.195 9.543
Bi 0.000 0.000 0.000
Bi 0.000 3.195 3.209
Bi 0.000 3.195 9.627
Bi 3.195 0.000 3.209
Bi 3.195 0.000 9.627
Bi 3.195 3.195 6.418
Br 0.000 0.000 6.418
Br 3.195 3.195 0.000
```

Space group   I4/mmm
Crystal system   tetragonal



[17]
Density functional theory data (GGA-PBE) for a relaxed PmPrBiBr crystal.

Geometry as extended XYZ:
```
16
Lattice="7.756 0.000 0.000 0.000 7.756 0.000 0.000 0.000 7.756" Properties=species:S:1:pos:R:3 pbc="T T T"
Pm 0.000 0.000 0.000
Pm 0.000 3.878 3.878
Pm 3.878 0.000 3.878
Pm 3.878 3.878 0.000
Pr 0.000 0.000 3.878
Pr 0.000 3.878 0.000
Pr 3.878 0.000 0.000
Pr 3.878 3.878 3.878
Bi 1.939 1.939 1.939
Bi 1.939 5.817 5.817
Bi 5.817 1.939 5.817
Bi 5.817 5.817 1.939
Br 1.939 1.939 5.817
Br 1.939 5.817 1.939
Br 5.817 1.939 1.939
Br 5.817 5.817 5.817
```

Space group   F-43m
Crystal system   cubic



[18]
Density functional theory data (GGA-PBE) for a relaxed TbPmBiBr crystal.

Geometry as extended XYZ:
```
16
Lattice="7.638 0.000 0.000 0.000 7.638 0.000 0.000 0.000 7.638" Properties=species:S:1:pos:R:3 pbc="T T T"
Tb 0.000 0.000 0.000
Tb 0.000 3.819 3.819
Tb 3.819 0.000 3.819
Tb 3.819 3.819 0.000
Pm 0.000 0.000 3.819
Pm 0.000 3.819 0.000
Pm 3.819 0.000 0.000
Pm 3.819 3.819 3.819
Bi 1.910 1.910 1.910
Bi 1.910 5.729 5.729
Bi 5.729 1.910 5.729
Bi 5.729 5.729 1.910
Br 1.910 1.910 5.729
Br 1.910 5.729 1.910
Br 5.729 1.910 1.910
Br 5.729 5.729 5.729
```

Space group   F-43m
Crystal system   cubic



[19]
Density functional theory data (GGA-PBE) for a relaxed PmYBiBr crystal.

Geometry as extended XYZ:
```
16
Lattice="7.641 0.000 0.000 0.000 7.641 0.000 0.000 0.000 7.641" Properties=species:S:1:pos:R:3 pbc="T T T"
Pm 0.000 0.000 0.000
Pm 0.000 3.821 3.821
Pm 3.821 0.000 3.821
Pm 3.821 3.821 0.000
Y 0.000 0.000 3.821
Y 0.000 3.821 0.000
Y 3.821 0.000 0.000
Y 3.821 3.821 3.821
Bi 1.910 1.910 5.731
Bi 1.910 5.731 1.910
Bi 5.731 1.910 1.910
Bi 5.731 5.731 5.731
Br 1.910 1.910 1.910
Br 1.910 5.731 5.731
Br 5.731 1.910 5.731
Br 5.731 5.731 1.910
```

Space group   F-43m
Crystal system   cubic



[20]
Density functional theory data (GGA-PBE) for a relaxed PrBiBr crystal.

Geometry as extended XYZ:
```
18
Lattice="-5.433 8.240 3.415 5.433 -8.240 3.415 5.433 8.240 -3.415" Properties=species:S:1:pos:R:3 pbc="T T T"
Pr 0.230 2.928 0.000
Pr 5.203 2.928 0.000
Pr 2.716 7.828 -0.138
Pr 2.716 0.412 3.277
Pr 0.230 5.312 3.415
Pr 5.203 5.312 3.415
Bi 0.000 0.000 1.502
Bi 5.433 0.000 1.502
Bi 6.236 5.994 0.179
Bi 4.629 -2.246 3.594
Bi 0.803 10.486 0.179
Bi -0.803 2.246 3.594
Br 2.716 4.879 -1.364
Br 8.149 2.549 -0.031
Br 2.716 3.361 2.052
Br 2.716 6.945 2.613
Br -2.716 5.690 3.384
Br -2.716 9.535 2.613
```

Space group   Ima2
Relative energy among the computed polymorphs   0.14 eV/f.u.
Crystal system   orthorhombic



no.,raw formation energy (eV/atom),electronic total energy (eV for the cell shown)
1,1.0644,-19.5
2,1.3040,-18.3
3,1.0256,-20.3
4,0.5261,-20.7
5,0.2444,-17.5
6,-0.9422,-56.5
7,-0.9488,-47.4
8,-0.8194,-55.0
9,-1.2765,-64.2
10,-1.4311,-54.0
11,-1.2646,-57.6
12,-0.8863,-18.6
13,-0.9573,-32.1
14,-1.3851,-71.0
15,-0.9609,-75.6
16,-0.9821,-80.3
17,-0.9831,-76.1
18,-0.9019,-74.2
19,-0.9005,-81.5
20,-0.9784,-79.6